(i)
The following is a PBE calculation of crystalline Sn2BiPb6 at its relaxed geometry, from Alexandria.

Results
Magnetic moment in μB per atom: 0.000
DOS at the Fermi energy in states/eV/atom: 0.45

Unit cell a=16.0281 b=11.5717 c=6.0571 alpha=90.00 beta=96.58 gamma=90.00
Space group C2/c (No. 15)
One atom of each set of equivalent atoms:
Sn: 0.1700 0.1235 0.0972 (multiplicity 8)
Bi: 0.0000 0.3749 0.2500 (multiplicity 4)
Pb: 0.0543 0.1241 0.5234 (multiplicity 8)
Pb: 0.1128 0.3700 0.8073 (multiplicity 8)
Pb: 0.2266 0.3738 0.3498 (multiplicity 8)

---

(ii)
The following is a PBE calculation of crystalline Sn2BiPb6 at its relaxed geometry, from Alexandria.

Results
Magnetic moment in μB per atom: 0.000
DOS at the Fermi energy in states/eV/atom: 0.46

Unit cell a=10.7300 b=5.1910 c=10.4145 alpha=90.00 beta=106.79 gamma=90.00
Space group C2/m (No. 12)
One atom of each set of equivalent atoms:
Sn: 0.1624 0.0000 0.0538 (multiplicity 4)
Bi: 0.0000 0.5000 0.5000 (multiplicity 2)
Pb: 0.0072 0.5000 0.8370 (multiplicity 4)
Pb: 0.1629 0.0000 0.3853 (multiplicity 4)
Pb: 0.1735 0.0000 0.7327 (multiplicity 4)

---

Order from most stable to least stable according to the calculation: (ii), (i)

---

(i)
The following is a PBE calculation of crystalline Sn2BiPb4 at its relaxed geometry, from Alexandria.

Results
Magnetic moment in μB per atom: 0.000
DOS at the Fermi energy in states/eV/atom: 0.60

Unit cell a=9.1023 b=9.1023 c=5.8336 alpha=90.00 beta=90.00 gamma=90.00
Space group P4_2/mnm (No. 136)
One atom of each set of equivalent atoms:
Sn: 0.2433 0.2433 0.0000 (multiplicity 4)
Bi: 0.0000 0.0000 0.5000 (multiplicity 2)
Pb: 0.1013 0.3532 0.5000 (multiplicity 8)

---

(ii)
The following is a PBE calculation of crystalline Sn2BiPb4 at its relaxed geometry, from Alexandria.

Results
Magnetic moment in μB per atom: 0.000
DOS at the Fermi energy in states/eV/atom: 0.77

Unit cell a=8.1822 b=8.1822 c=6.6860 alpha=90.00 beta=90.00 gamma=90.00
Space group I4/mmm (No. 139)
One atom of each set of equivalent atoms:
Sn: 0.0000 0.5000 0.2500 (multiplicity 4)
Bi: 0.0000 0.0000 0.0000 (multiplicity 2)
Pb: 0.2154 0.2154 0.5000 (multiplicity 8)

---

Order from most stable to least stable according to the calculation: (ii), (i)

---

(i)
The following is a PBE calculation of crystalline SnBi3Pb4 at its relaxed geometry, from Alexandria.

Results
Magnetic moment in μB per atom: 0.000
DOS at the Fermi energy in states/eV/atom: 0.29

Unit cell a=5.0382 b=10.0858 c=9.9546 alpha=90.00 beta=90.00 gamma=90.00
Space group Amm2 (No. 38)
One atom of each set of equivalent atoms:
Sn: 0.0000 0.0000 0.0000 (multiplicity 2)
Bi: 0.0000 0.0000 0.4982 (multiplicity 2)
Bi: 0.5000 0.2475 0.9992 (multiplicity 4)
Pb: 0.0000 0.2504 0.2301 (multiplicity 4)
Pb: 0.5000 0.0000 0.2652 (multiplicity 2)
Pb: 0.5000 0.0000 0.7710 (multiplicity 2)

---

(ii)
The following is a PBE calculation of crystalline SnBi3Pb4 at its relaxed geometry, from Alexandria.

Results
Magnetic moment in μB per atom: 0.000
DOS at the Fermi energy in states/eV/atom: 0.61

Unit cell a=24.2452 b=6.0762 c=3.4725 alpha=90.00 beta=97.52 gamma=90.00
Space group C2/m (No. 12)
One atom of each set of equivalent atoms:
Sn: 0.0000 0.0000 0.0000 (multiplicity 2)
Bi: 0.0000 0.5000 0.5000 (multiplicity 2)
Bi: 0.1273 0.5000 0.1800 (multiplicity 4)
Pb: 0.1198 0.0000 0.6058 (multiplicity 4)
Pb: 0.2500 0.0000 0.2506 (multiplicity 4)

---

Order from most stable to least stable according to the calculation: (i), (ii)

---

(i)
The following is a PBE calculation of crystalline SnBiPb4 at its relaxed geometry, from Alexandria.

Results
Magnetic moment in μB per atom: 0.000
DOS at the Fermi energy in states/eV/atom: 0.86

Unit cell a=9.2270 b=9.2270 c=9.2270 alpha=90.00 beta=90.00 gamma=90.00
Space group F-43m (No. 216)
One atom of each set of equivalent atoms:
Sn: 0.0000 0.0000 0.0000 (multiplicity 4)
Bi: 0.2500 0.2500 0.7500 (multiplicity 4)
Pb: 0.1250 0.1250 0.3750 (multiplicity 16)

---

(ii)
The following is a PBE calculation of crystalline SnBiPb4 at its relaxed geometry, from Alexandria.

Results
Magnetic moment in μB per atom: 0.000
DOS at the Fermi energy in states/eV/atom: 0.50

Unit cell a=6.6435 b=9.6882 c=7.3050 alpha=90.00 beta=113.33 gamma=90.00
Space group P2_1/m (No. 11)
One atom of each set of equivalent atoms:
Sn: 0.2435 0.2500 0.4986 (multiplicity 2)
Bi: 0.4899 0.7500 0.0113 (multiplicity 2)
Pb: 0.0216 0.2500 0.0108 (multiplicity 2)
Pb: 0.1468 0.0002 0.7537 (multiplicity 4)
Pb: 0.2724 0.7500 0.4964 (multiplicity 2)

---

Order from most stable to least stable according to the calculation: (ii), (i)

---

(i)
The following is a PBE calculation of crystalline SnBiPb3 at its relaxed geometry, from Alexandria.

Results
Magnetic moment in μB per atom: 0.000
DOS at the Fermi energy in states/eV/atom: 0.45

Unit cell a=5.8035 b=5.8035 c=5.8035 alpha=90.00 beta=90.00 gamma=90.00
Space group Pm-3m (No. 221)
One atom of each set of equivalent atoms:
Sn: 0.0000 0.0000 0.0000 (multiplicity 1)
Bi: 0.5000 0.5000 0.5000 (multiplicity 1)
Pb: 0.0000 0.0000 0.5000 (multiplicity 3)

---

(ii)
The following is a PBE calculation of crystalline SnBiPb3 at its relaxed geometry, from Alexandria.

Results
Magnetic moment in μB per atom: 0.000
DOS at the Fermi energy in states/eV/atom: 0.36

Unit cell a=6.0529 b=5.8656 c=9.1276 alpha=90.00 beta=108.66 gamma=90.00
Space group P2_1/m (No. 11)
One atom of each set of equivalent atoms:
Sn: 0.2302 0.2500 0.3023 (multiplicity 2)
Bi: 0.4341 0.2500 0.6962 (multiplicity 2)
Pb: 0.0322 0.2500 0.9042 (multiplicity 2)
Pb: 0.1700 0.7500 0.4976 (multiplicity 2)
Pb: 0.3699 0.7500 0.8947 (multiplicity 2)

---

(iii)
The following is a PBE calculation of crystalline SnBiPb3 at its relaxed geometry, from Alexandria.

Results
Magnetic moment in μB per atom: 0.000
DOS at the Fermi energy in states/eV/atom: 0.45

Unit cell a=6.9526 b=7.0410 c=8.2016 alpha=114.62 beta=96.00 gamma=107.43
Space group P-1 (No. 2)
One atom of each set of equivalent atoms:
Sn: 0.1001 0.3356 0.3847 (multiplicity 2)
Bi: 0.4157 0.7202 0.1166 (multiplicity 2)
Pb: 0.0473 0.2212 0.9608 (multiplicity 2)
Pb: 0.2336 0.9693 0.4918 (multiplicity 2)
Pb: 0.4839 0.7320 0.7363 (multiplicity 2)

---

Order from most stable to least stable according to the calculation: (ii), (iii), (i)

---

(i)
The following is a PBE calculation of crystalline SnBi4Pb5 at its relaxed geometry, from Alexandria.

Results
Magnetic moment in μB per atom: 0.000
DOS at the Fermi energy in states/eV/atom: 0.47

Unit cell a=16.0862 b=5.7664 c=7.0101 alpha=90.00 beta=97.08 gamma=90.00
Space group C2/m (No. 12)
One atom of each set of equivalent atoms:
Sn: 0.0000 0.0000 0.0000 (multiplicity 2)
Bi: 0.0750 0.5000 0.8336 (multiplicity 4)
Bi: 0.1951 0.0000 0.2778 (multiplicity 4)
Pb: 0.0000 0.0000 0.5000 (multiplicity 2)
Pb: 0.1158 0.5000 0.3874 (multiplicity 4)
Pb: 0.1922 0.0000 0.8141 (multiplicity 4)

---

(ii)
The following is a PBE calculation of crystalline SnBi4Pb5 at its relaxed geometry, from Alexandria.

Results
Magnetic moment in μB per atom: 0.000
DOS at the Fermi energy in states/eV/atom: 0.45

Unit cell a=18.7188 b=4.2996 c=8.8918 alpha=90.00 beta=110.75 gamma=90.00
Space group C2/m (No. 12)
One atom of each set of equivalent atoms:
Sn: 0.0000 0.0000 0.0000 (multiplicity 2)
Bi: 0.0489 0.5000 0.2761 (multiplicity 4)
Bi: 0.1698 0.0000 0.0194 (multiplicity 4)
Pb: 0.0000 0.0000 0.5000 (multiplicity 2)
Pb: 0.1401 0.5000 0.7185 (multiplicity 4)
Pb: 0.2263 0.5000 0.3357 (multiplicity 4)

---

Order from most stable to least stable according to the calculation: (i), (ii)